Record 1
VASP calculation (PBE) on crystalline ScPbS2Cl at its relaxed geometry.

Computed properties:
- E: -4.09 eV per atom
- Distance to the lowest polymorph of the same formula: 1082.1 meV/atom
- Magnetic moment: 0.16 μB per atom
- Formation energy (no corrections): -0.07 eV/atom
- SG: P4/mmm, No. 123

abc: 5.233 5.233 5.193
angles: 90.00 90.00 90.00
Last column: magnetic moment on the atom in μB.
Positions (direct):
Pb  0.000  0.000  0.000  -0.01
Sc  0.500  0.500  0.500  0.74
S  0.000  0.500  0.000  -0.04
S  0.500  0.000  0.000  -0.04
Cl  0.000  0.000  0.500  -0.01


Record 2
VASP calculation (PBE) on crystalline ScPbSCl2 at its relaxed geometry.

Computed properties:
- E: -4.69 eV per atom
- Distance to the lowest polymorph of the same formula: 0.0 meV/atom
- Magnetic moment: 0.05 μB per atom
- Formation energy (no corrections): -1.11 eV/atom
- SG: P4/mmm, No. 123

abc: 5.247 5.247 5.259
angles: 90.00 90.00 90.00
Last column: magnetic moment on the atom in μB.
Positions (direct):
Pb  0.500  0.500  0.500  0.04
Sc  0.000  0.000  0.000  0.11
S  0.000  0.000  0.500  -0.01
Cl  0.000  0.500  0.000  0.00
Cl  0.500  0.000  0.000  0.00


Record 3
VASP calculation (PBE) on crystalline PbSeSCl2 at its relaxed geometry.

Computed properties:
- E: -3.03 eV per atom
- Distance to the lowest polymorph of the same formula: 0.0 meV/atom
- Magnetic moment: 0.00 μB per atom
- Formation energy (no corrections): -0.03 eV/atom
- SG: P4/mmm, No. 123

abc: 5.260 5.260 5.088
angles: 90.00 90.00 90.00
Positions (direct):
Pb  0.500  0.500  0.500
S  0.000  0.000  0.500
Se  0.000  0.000  0.000
Cl  0.000  0.500  0.000
Cl  0.500  0.000  0.000


Record 4
VASP calculation (PBE) on crystalline PbSeSCl2 at its relaxed geometry.

Computed properties:
- E: -2.79 eV per atom
- Distance to the lowest polymorph of the same formula: 240.1 meV/atom
- Magnetic moment: 0.65 μB per atom
- Formation energy (no corrections): 0.21 eV/atom
- SG: P4/mmm, No. 123

abc: 5.480 5.480 5.497
angles: 90.00 90.00 90.00
Last column: magnetic moment on the atom in μB.
Positions (direct):
Pb  0.000  0.000  0.000  0.02
S  0.000  0.000  0.500  0.49
Se  0.500  0.500  0.500  1.40
Cl  0.000  0.500  0.000  0.07
Cl  0.500  0.000  0.000  0.07


Record 5
VASP calculation (PBE) on crystalline SiPbSCl2 at its relaxed geometry.

Computed properties:
- E: -3.74 eV per atom
- Distance to the lowest polymorph of the same formula: 0.0 meV/atom
- Magnetic moment: 0.00 μB per atom
- Formation energy (no corrections): -0.35 eV/atom
- SG: P4/mmm, No. 123

abc: 4.957 4.957 4.994
angles: 90.00 90.00 90.00
Positions (direct):
Pb  0.500  0.500  0.500
S  0.000  0.000  0.500
Si  0.000  0.000  0.000
Cl  0.000  0.500  0.000
Cl  0.500  0.000  0.000


Record 6
VASP calculation (PBE) on crystalline SiPbS2Cl at its relaxed geometry.

Computed properties:
- E: -3.27 eV per atom
- Distance to the lowest polymorph of the same formula: 852.2 meV/atom
- Magnetic moment: 0.00 μB per atom
- Formation energy (no corrections): 0.58 eV/atom
- SG: P4/mmm, No. 123

abc: 5.312 5.312 5.248
angles: 90.00 90.00 90.00
Positions (direct):
Pb  0.000  0.000  0.000
S  0.000  0.500  0.000
S  0.500  0.000  0.000
Si  0.500  0.500  0.500
Cl  0.000  0.000  0.500


Record 7
VASP calculation (PBE) on crystalline SiPbSCl2 at its relaxed geometry.

Computed properties:
- E: -3.09 eV per atom
- Distance to the lowest polymorph of the same formula: 644.4 meV/atom
- Magnetic moment: 0.10 μB per atom
- Formation energy (no corrections): 0.30 eV/atom
- SG: P4/mmm, No. 123

abc: 5.502 5.502 5.545
angles: 90.00 90.00 90.00
Last column: magnetic moment on the atom in μB.
Positions (direct):
Pb  0.000  0.000  0.000  0.00
S  0.000  0.000  0.500  0.08
Si  0.500  0.500  0.500  -0.22
Cl  0.000  0.500  0.000  0.01
Cl  0.500  0.000  0.000  0.01


Record 8
VASP calculation (PBE) on crystalline SiPbS2Cl at its relaxed geometry.

Computed properties:
- E: -4.12 eV per atom
- Distance to the lowest polymorph of the same formula: 0.0 meV/atom
- Magnetic moment: 0.00 μB per atom
- Formation energy (no corrections): -0.27 eV/atom
- SG: P4/mmm, No. 123

abc: 4.843 4.843 5.003
angles: 90.00 90.00 90.00
Positions (direct):
Pb  0.500  0.500  0.500
S  0.000  0.500  0.000
S  0.500  0.000  0.000
Si  0.000  0.000  0.000
Cl  0.000  0.000  0.500


Record 9
VASP calculation (PBE) on crystalline SnPbSCl2 at its relaxed geometry.

Computed properties:
- E: -3.46 eV per atom
- Distance to the lowest polymorph of the same formula: 435.8 meV/atom
- Magnetic moment: 0.00 μB per atom
- Formation energy (no corrections): -0.36 eV/atom
- SG: P4/mmm, No. 123

abc: 5.110 5.110 5.127
angles: 90.00 90.00 90.00
Positions (direct):
Pb  0.500  0.500  0.500
S  0.000  0.000  0.500
Sn  0.000  0.000  0.000
Cl  0.000  0.500  0.000
Cl  0.500  0.000  0.000


Record 10
VASP calculation (PBE) on crystalline SnPbS2Cl at its relaxed geometry.

Computed properties:
- E: -3.42 eV per atom
- Distance to the lowest polymorph of the same formula: 125.6 meV/atom
- Magnetic moment: 0.00 μB per atom
- Formation energy (no corrections): 0.14 eV/atom
- SG: P4/mmm, No. 123

abc: 5.747 5.747 5.368
angles: 90.00 90.00 90.00
Positions (direct):
Pb  0.000  0.000  0.000
S  0.000  0.500  0.000
S  0.500  0.000  0.000
Sn  0.500  0.500  0.500
Cl  0.000  0.000  0.500


Record 11
VASP calculation (PBE) on crystalline SnPbS2Cl at its relaxed geometry.

Computed properties:
- E: -3.55 eV per atom
- Distance to the lowest polymorph of the same formula: 0.0 meV/atom
- Magnetic moment: 0.00 μB per atom
- Formation energy (no corrections): 0.01 eV/atom
- SG: P4/mmm, No. 123

abc: 5.841 5.841 5.324
angles: 90.00 90.00 90.00
Positions (direct):
Pb  0.500  0.500  0.500
S  0.000  0.500  0.000
S  0.500  0.000  0.000
Sn  0.000  0.000  0.000
Cl  0.000  0.000  0.500


Record 12
VASP calculation (PBE) on crystalline SnPbSCl2 at its relaxed geometry.

Computed properties:
- E: -3.35 eV per atom
- Distance to the lowest polymorph of the same formula: 551.1 meV/atom
- Magnetic moment: 0.00 μB per atom
- Formation energy (no corrections): -0.24 eV/atom
- SG: P4/mmm, No. 123

abc: 5.433 5.433 5.542
angles: 90.00 90.00 90.00
Positions (direct):
Pb  0.000  0.000  0.000
S  0.000  0.000  0.500
Sn  0.500  0.500  0.500
Cl  0.000  0.500  0.000
Cl  0.500  0.000  0.000